The following is a PBE calculation of a geometry-optimized AgPdW2I structure, from the Alexandria database.

The electronic total energy is -0.356 Ry per atom. As for the crystal system: tetragonal. For the density of states at the Fermi level, the calculation gives 4.86 states/eV per cell. As for the symmetry: P4/mmm (123).

a b c (Å): 4.902 4.883 4.902
angles (deg): 90.00 90.00 90.00
Atoms (fractional coordinates):
1 I 0.000 0.000 0.000
2 Pd 0.000 0.500 0.000
3 Ag 0.500 0.500 0.500
4 W 0.000 0.000 0.500
5 W 0.500 0.000 0.000

---

The following is a PBE calculation of a geometry-optimized Pm3AgI3 structure, from the Alexandria database.

The electronic total energy is -0.292 Ry per atom. As for the crystal system: cubic. For the density of states at the Fermi level, the calculation gives 26.10 states/eV per cell. As for the symmetry: I4_132 (214).

a b c (Å): 10.836 10.836 10.836
angles (deg): 109.47 109.47 109.47
Atoms (fractional coordinates):
1 Pm 0.974 0.487 0.237
2 Pm 0.513 0.026 0.263
3 Pm 0.250 0.013 0.487
4 Pm 0.987 0.750 0.013
5 Pm 0.987 0.237 0.474
6 Pm 0.763 0.013 0.026
7 Pm 0.737 0.474 0.487
8 Pm 0.763 0.750 0.237
9 Pm 0.526 0.263 0.013
10 Pm 0.250 0.237 0.263
11 Pm 0.737 0.263 0.750
12 Pm 0.513 0.487 0.750
13 Ag 0.750 0.500 0.000
14 Ag 0.500 0.250 0.500
15 Ag 0.750 0.250 0.250
16 Ag 0.000 0.000 0.250
17 I 0.241 0.991 0.982
18 I 0.750 0.759 0.741
19 I 0.482 0.741 0.991
20 I 0.009 0.250 0.991
21 I 0.259 0.741 0.250
22 I 0.491 0.509 0.250
23 I 0.241 0.250 0.759
24 I 0.259 0.518 0.509
25 I 0.750 0.991 0.509
26 I 0.018 0.509 0.759
27 I 0.009 0.759 0.518
28 I 0.491 0.982 0.741

---

The following is a PBE calculation of a geometry-optimized Pm2AgI structure, from the Alexandria database.

The electronic total energy is -0.291 Ry per atom. For the distance to the lowest polymorph of the same formula, the calculation gives 0.000 eV/atom. As for the crystal system: trigonal. For the density of states at the Fermi level, the calculation gives 3.28 states/eV per cell. As for the symmetry: R-3m (166).

a b c (Å): 4.346 4.346 8.043
angles (deg): 74.32 74.32 60.00
Atoms (fractional coordinates):
1 I 0.500 0.500 0.500
2 Ag 0.000 0.000 0.000
3 Pm 0.260 0.260 0.219
4 Pm 0.740 0.740 0.781

---

The following is a PBE calculation of a geometry-optimized Pm2AgI structure, from the Alexandria database.

The electronic total energy is -0.289 Ry per atom. For the distance to the lowest polymorph of the same formula, the calculation gives 0.031 eV/atom. As for the crystal system: tetragonal. For the density of states at the Fermi level, the calculation gives 4.86 states/eV per cell. As for the symmetry: P4/mmm (123).

a b c (Å): 3.670 3.670 8.420
angles (deg): 90.00 90.00 90.00
Atoms (fractional coordinates):
1 I 0.500 0.500 0.500
2 Ag 0.500 0.500 0.000
3 Pm 0.000 0.000 0.771
4 Pm 0.000 0.000 0.229

---

The following is a PBE calculation of a geometry-optimized PmAgI2 structure, from the Alexandria database.

The electronic total energy is -0.219 Ry per atom. As for the crystal system: trigonal. For the density of states at the Fermi level, the calculation gives 1.79 states/eV per cell. As for the symmetry: R-3m (166).

a b c (Å): 4.208 4.208 10.014
angles (deg): 77.87 77.87 60.00
Atoms (fractional coordinates):
1 I 0.105 0.105 0.685
2 I 0.895 0.895 0.315
3 Ag 0.500 0.500 0.500
4 Pm 0.000 0.000 0.000

---

The following is a PBE calculation of a geometry-optimized PmAg2I6 structure, from the Alexandria database.

The electronic total energy is -0.208 Ry per atom. As for the crystal system: monoclinic. For the density of states at the Fermi level, the calculation gives 10.35 states/eV per cell. As for the symmetry: C2/c (15).

a b c (Å): 8.267 10.380 10.380
angles (deg): 85.56 75.82 75.82
Atoms (fractional coordinates):
1 Pm 0.250 0.093 0.907
2 Pm 0.750 0.907 0.093
3 Ag 0.237 0.604 0.787
4 Ag 0.263 0.213 0.396
5 Ag 0.763 0.396 0.213
6 Ag 0.737 0.787 0.604
7 I 0.564 0.590 0.619
8 I 0.936 0.381 0.410
9 I 0.436 0.410 0.381
10 I 0.064 0.619 0.590
11 I 0.780 0.952 0.367
12 I 0.720 0.633 0.048
13 I 0.220 0.048 0.633
14 I 0.280 0.367 0.952
15 I 0.153 0.807 0.984
16 I 0.347 0.016 0.193
17 I 0.847 0.193 0.016
18 I 0.653 0.984 0.807

---

The following is a PBE calculation of a geometry-optimized PmAgI4 structure, from the Alexandria database.

The electronic total energy is -0.242 Ry per atom. As for the crystal system: monoclinic. For the density of states at the Fermi level, the calculation gives 0.00 states/eV per cell. As for the symmetry: C2/m (12).

a b c (Å): 4.438 8.846 7.770
angles (deg): 114.76 90.00 104.53
Atoms (fractional coordinates):
1 Pm 0.000 0.000 0.000
2 Ag 0.500 0.000 0.500
3 I 0.376 0.751 0.023
4 I 0.105 0.210 0.440
5 I 0.624 0.249 0.977
6 I 0.895 0.790 0.560

---

The following is a PBE calculation of a geometry-optimized Pm7AgI12 structure, from the Alexandria database.

The electronic total energy is -0.287 Ry per atom. As for the crystal system: trigonal. For the density of states at the Fermi level, the calculation gives 9.38 states/eV per cell. As for the symmetry: R-3 (148).

a b c (Å): 9.960 9.960 9.960
angles (deg): 107.96 107.96 107.96
Atoms (fractional coordinates):
1 Pm 0.959 0.676 0.888
2 Pm 0.324 0.112 0.041
3 Pm 0.112 0.041 0.324
4 Pm 0.500 0.500 0.500
5 Pm 0.888 0.959 0.676
6 Pm 0.676 0.888 0.959
7 Pm 0.041 0.324 0.112
8 Ag 0.000 0.000 0.000
9 I 0.923 0.313 0.772
10 I 0.687 0.228 0.077
11 I 0.477 0.156 0.395
12 I 0.844 0.605 0.523
13 I 0.228 0.077 0.687
14 I 0.605 0.523 0.844
15 I 0.395 0.477 0.156
16 I 0.772 0.923 0.313
17 I 0.156 0.395 0.477
18 I 0.523 0.844 0.605
19 I 0.313 0.772 0.923
20 I 0.077 0.687 0.228

---

Taking the records one at a time from the top gives formation energy without anion corrections values of 2.258 -0.867 -0.484 -0.453 -0.303 -0.640 -0.989 -1.170 eV per atom.